(1)
Below is a relaxed HoMgIrO6 crystal, with properties calculated at the PBE level. Values from VASP.

```
&SYSTEM
  ibrav = 0, nat = 18, ntyp = 4
/
ATOMIC_SPECIES
O 16.00 O.upf
Mg 24.30 Mg.upf
Ho 164.93 Ho.upf
Ir 192.22 Ir.upf
ATOMIC_POSITIONS crystal
O 0.6799 0.6357 0.1254
Mg 0.0000 0.0000 0.0000
Mg 0.0000 0.0000 0.5000
Ho 0.6667 0.3333 0.7500
O 0.3643 0.3201 0.3746
O 0.0442 0.6799 0.8746
O 0.3643 0.0442 0.1254
O 0.3201 0.3643 0.8746
O 0.6357 0.6799 0.6254
O 0.9558 0.6357 0.3746
O 0.0442 0.3643 0.6254
O 0.6799 0.0442 0.3746
Ho 0.3333 0.6667 0.2500
Ir 0.6667 0.3333 0.2500
O 0.3201 0.9558 0.6254
O 0.6357 0.9558 0.8746
O 0.9558 0.3201 0.1254
Ir 0.3333 0.6667 0.7500
CELL_PARAMETERS angstrom
5.4020 0.0000 0.0000
-2.7010 4.6783 0.0000
0.0000 0.0000 8.7034
```

Summary:
Space-group type ... P-31c
DOS(E_F) ... 10.9 states/eV/cell
Total magnetic moment ... 0.16 μB/atom
Uncorrected formation energy ... -1753 meV per atom

(2)
Below is a relaxed LiHg2Rh crystal, with properties calculated at the PBE level. Values from VASP.

```
&SYSTEM
  ibrav = 0, nat = 4, ntyp = 3
/
ATOMIC_SPECIES
Rh 102.91 Rh.upf
Hg 200.59 Hg.upf
Li 6.94 Li.upf
ATOMIC_POSITIONS crystal
Rh 0.0000 0.5000 0.5000
Hg 0.0000 0.6819 0.6819
Li 0.0000 0.0000 0.0000
Hg 0.0000 0.3181 0.3181
CELL_PARAMETERS angstrom
5.8171 -2.7817 -4.4266
-2.7947 5.8109 4.4266
-4.3672 1.3350 6.3496
```

Summary:
Space-group type ... Immm
DOS(E_F) ... 2.6 states/eV/cell
Formation enthalpy at 0 K ... 221 meV per atom
Total magnetic moment ... 0.13 μB/atom

(3)
Below is a relaxed CeSn3H crystal, with properties calculated at the PBE level. Values from VASP.

```
&SYSTEM
  ibrav = 0, nat = 5, ntyp = 3
/
ATOMIC_SPECIES
Sn 118.71 Sn.upf
H 1.01 H.upf
Ce 140.12 Ce.upf
ATOMIC_POSITIONS crystal
Sn 0.0000 0.5000 0.0000
H 0.0000 0.0000 0.0000
Ce 0.5000 0.5000 0.5000
Sn 0.5000 0.0000 0.0000
Sn 0.0000 0.0000 0.5000
CELL_PARAMETERS angstrom
-4.0931 -2.4158 0.3038
2.3245 -4.0539 -0.9188
0.7247 -0.6413 4.6632
```

Summary:
Space-group type ... Pm-3m
DOS(E_F) ... 4.7 states/eV/cell
Total magnetic moment ... 0.07 μB/atom
Total energy ... -22.6 eV per cell

(4)
Below is a relaxed MnSb2Pt crystal, with properties calculated at the PBE level. Values from VASP.

```
&SYSTEM
  ibrav = 0, nat = 4, ntyp = 3
/
ATOMIC_SPECIES
Sb 121.76 Sb.upf
Pt 195.08 Pt.upf
Mn 54.94 Mn.upf
ATOMIC_POSITIONS crystal
Sb 0.0392 0.0392 0.0000
Sb 0.7849 0.2849 0.5000
Pt 0.2263 0.7263 0.5000
Mn 0.4496 0.4496 0.0000
CELL_PARAMETERS angstrom
6.3709 0.6159 -0.0895
3.6687 5.2449 0.0895
-4.8477 -3.2253 2.6597
```

Summary:
Polymorph energy (0 for the lowest one) ... 172.8 meV/atom
Space-group type ... Imm2
DOS(E_F) ... 2.4 states/eV/cell
Total magnetic moment ... 0.88 μB/atom
Uncorrected formation energy ... 9 meV per atom

(5)
Below is a relaxed ZnTe3 crystal, with properties calculated at the PBE level. Values from VASP.

```
&SYSTEM
  ibrav = 0, nat = 4, ntyp = 2
/
ATOMIC_SPECIES
Zn 65.41 Zn.upf
Te 127.60 Te.upf
ATOMIC_POSITIONS crystal
Zn 0.0000 0.5000 0.5000
Te 0.0000 0.0000 0.0000
Te 0.5000 0.0000 0.5000
Te 0.5000 0.5000 0.0000
CELL_PARAMETERS angstrom
5.2443 0.2505 0.8087
-2.1472 4.7911 0.8087
-2.1472 -3.4953 3.3752
```

Summary:
Space-group type ... Im-3m
DOS(E_F) ... 2.5 states/eV/cell
Total magnetic moment ... 0.00 μB/atom
Uncorrected formation energy ... -18 meV per atom

(6)
Below is a relaxed Ta3MnP crystal, with properties calculated at the PBE level. Values from VASP.

```
&SYSTEM
  ibrav = 0, nat = 5, ntyp = 3
/
ATOMIC_SPECIES
Ta 180.95 Ta.upf
Mn 54.94 Mn.upf
P 30.97 P.upf
ATOMIC_POSITIONS crystal
Ta 0.0000 0.0000 0.5000
Ta 0.0000 0.5000 0.0000
Mn 0.0000 0.0000 0.0000
Ta 0.5000 0.0000 0.0000
P 0.5000 0.5000 0.5000
CELL_PARAMETERS angstrom
-0.0226 4.1585 -1.8998
0.7350 -1.8718 -4.1060
-4.5125 -0.3257 -0.6593
```

Summary:
Polymorph energy (0 for the lowest one) ... 155.3 meV/atom
Space-group type ... Pm-3m
DOS(E_F) ... 6.2 states/eV/cell
Formation enthalpy at 0 K ... 891 meV per atom
Total magnetic moment ... 0.00 μB/atom

(7)
Below is a relaxed TaAlNiIr crystal, with properties calculated at the PBE level. Values from VASP.

```
&SYSTEM
  ibrav = 0, nat = 4, ntyp = 4
/
ATOMIC_SPECIES
Ta 180.95 Ta.upf
Ir 192.22 Ir.upf
Ni 58.69 Ni.upf
Al 26.98 Al.upf
ATOMIC_POSITIONS crystal
Ta 0.2500 0.7500 0.5000
Ir 0.0000 0.0000 0.0000
Ni 0.5000 0.5000 0.0000
Al 0.7500 0.2500 0.5000
CELL_PARAMETERS angstrom
-1.4984 -1.0434 -3.6804
3.5892 -1.7509 -0.9649
-2.1560 -1.5964 3.6235
```

Summary:
Polymorph energy (0 for the lowest one) ... 0.0 meV/atom
Space-group type ... I-4m2
DOS(E_F) ... 3.4 states/eV/cell
Formation enthalpy at 0 K ... -582 meV per atom
Total magnetic moment ... 0.17 μB/atom

(8)
Below is a relaxed Tl2AgI4 crystal, with properties calculated at the PBE level. Values from VASP.

```
&SYSTEM
  ibrav = 0, nat = 7, ntyp = 3
/
ATOMIC_SPECIES
Tl 204.38 Tl.upf
I 126.90 I.upf
Ag 107.87 Ag.upf
ATOMIC_POSITIONS crystal
Tl 0.6569 0.3139 0.7065
I 0.3466 0.6932 0.9089
I 0.0258 0.0515 0.3296
I 0.9742 0.9485 0.6704
I 0.6534 0.3068 0.0911
Ag 0.0000 0.0000 0.0000
Tl 0.3431 0.6861 0.2935
CELL_PARAMETERS angstrom
4.6395 0.0000 0.0000
-2.3198 6.7138 -3.5083
0.0000 0.1195 8.9964
```

Summary:
Polymorph energy (0 for the lowest one) ... 0.0 meV/atom
Space-group type ... C2/m
DOS(E_F) ... 3.7 states/eV/cell
Total magnetic moment ... 0.00 μB/atom
Uncorrected formation energy ... -385 meV per atom

> Which of these has the highest DOS(E_F)?

HoMgIrO6

> Which formula does entry 7 have?

TaAlNiIr

> What is the DOS(E_F) in the second record?

2.6 states/eV/cell